#a
Zr4AlTl: optimized geometry, PBE-GGA.

a = 5.792 Å, b = 5.792 Å, c = 5.792 Å
α = 60.00°, β = 60.00°, γ = 60.00°
Element x y z (fractional)
1 Zr 0.124 0.124 0.124
2 Zr 0.124 0.124 0.628
3 Zr 0.124 0.628 0.124
4 Zr 0.628 0.124 0.124
5 Al 0.750 0.750 0.750
6 Tl 0.500 0.500 0.500

Properties
space-group type = F-43m

#b
Zr4AlTl: optimized geometry, PBE-GGA.

a = 10.623 Å, b = 3.297 Å, c = 8.124 Å
α = 90.00°, β = 112.42°, γ = 90.00°
Element x y z (fractional)
1 Zr 0.162 0.000 0.339
2 Zr 0.164 0.000 0.824
3 Zr 0.336 0.500 0.176
4 Zr 0.338 0.500 0.661
5 Zr 0.662 0.500 0.339
6 Zr 0.664 0.500 0.824
7 Zr 0.836 0.000 0.176
8 Zr 0.838 0.000 0.661
9 Al 0.000 0.500 0.500
10 Al 0.500 0.000 0.500
11 Tl 0.000 0.500 0.000
12 Tl 0.500 0.000 0.000

Properties
space-group type = C2/m

Looking at the structures above, #b is most stable, and the difference to the next one is 0.456 eV/atom.